14
Lattice="7.283 -2.997 0.005 7.283 2.997 0.005 6.047 0.000 5.046" Properties=species:S:1:pos:R:3 comment="GGA+U RbBa2Fe2F9, relaxed" energy_ev_per_atom=-5.298 magmom_total_mub_per_fu=8.00 space_group=R3m pbc="T T T"
Ba 4.254 0.000 1.043
Ba 0.011 0.000 0.003
F 11.388 1.546 3.712
F 6.637 1.455 2.493
F 12.026 0.000 1.111
F 11.388 -1.546 3.712
F 6.637 -1.455 2.493
F 8.629 0.000 3.982
F 7.237 0.000 0.044
F 9.277 1.570 1.342
F 9.277 -1.570 1.342
Fe 8.154 0.000 1.999
Fe 12.547 0.000 3.077
Rb 16.216 0.000 3.977